This record from Alexandria describes a relaxed structure of Y3TeOs. The functional is PBEsol.

extended XYZ file:
```
5
Lattice="5.298 0.000 0.000 0.000 5.298 0.000 0.000 0.000 5.298" Properties=species:S:1:pos:R:3 pbc="T T T"
Y 0.000 0.000 2.649
Y 0.000 2.649 0.000
Y 2.649 0.000 0.000
Te 2.649 2.649 2.649
Os 0.000 0.000 0.000
```

- Crystal system: cubic
- Calculated total energy: -37.509 eV/cell

This record from Alexandria describes a relaxed structure of YTe2Os. The functional is PBEsol.

extended XYZ file:
```
4
Lattice="3.443 0.000 0.000 0.000 3.443 0.000 0.000 0.000 7.156" Properties=species:S:1:pos:R:3 pbc="T T T"
Y 0.000 0.000 0.000
Te 1.722 1.722 1.977
Te 1.722 1.722 5.179
Os 0.000 0.000 3.578
```

- Crystal system: tetragonal
- ΔE to the lowest computed polymorph: 275.0 meV/atom
- Calculated total energy: -25.629 eV/cell

This record from Alexandria describes a relaxed structure of ZnTeOs2. The functional is PBEsol.

extended XYZ file:
```
4
Lattice="1.456 -2.445 0.000 1.456 2.445 0.000 0.000 0.000 9.077" Properties=species:S:1:pos:R:3 pbc="T T T"
Zn 0.000 0.000 0.000
Te 0.000 0.000 4.539
Os 1.456 0.000 2.103
Os 1.456 0.000 6.974
```

- Crystal system: orthorhombic
- ΔE to the lowest computed polymorph: 334.8 meV/atom
- Calculated total energy: -25.882 eV/cell

This record from Alexandria describes a relaxed structure of ZnTeOs. The functional is PBEsol.

extended XYZ file:
```
3
Lattice="-1.540 1.540 5.923 1.540 -1.540 5.923 1.540 1.540 -5.923" Properties=species:S:1:pos:R:3 pbc="T T T"
Zn 0.000 0.000 0.000
Te 0.000 0.000 8.685
Os 0.000 0.000 4.366
```

- Crystal system: tetragonal
- ΔE to the lowest computed polymorph: 0.0 meV/atom
- Calculated total energy: -16.031 eV/cell

This record from Alexandria describes a relaxed structure of ZnTeOs3. The functional is PBEsol.

extended XYZ file:
```
5
Lattice="4.486 0.000 0.000 0.000 4.486 0.000 0.000 0.000 4.486" Properties=species:S:1:pos:R:3 pbc="T T T"
Zn 0.000 0.000 0.000
Te 2.243 2.243 2.243
Os 0.000 0.000 2.243
Os 0.000 2.243 0.000
Os 2.243 0.000 0.000
```

- Crystal system: cubic
- Calculated total energy: -31.373 eV/cell

This record from Alexandria describes a relaxed structure of ZnTeOs. The functional is PBEsol.

extended XYZ file:
```
3
Lattice="3.176 0.000 0.000 -1.588 2.750 0.000 0.000 0.000 6.193" Properties=species:S:1:pos:R:3 pbc="T T T"
Zn 0.000 0.000 0.000
Te 0.000 1.834 2.444
Os 1.588 0.917 4.334
```

- Crystal system: trigonal
- ΔE to the lowest computed polymorph: 22.0 meV/atom
- Calculated total energy: -15.964 eV/cell

The evaluated density of states at the Fermi level for the records listed, in turn: 5.01 5.52 4.21 1.31 5.35 1.14 states/eV/f.u..